The following is a DFT calculation (GGA-PBE) of LiAlF2 after structural relaxation.

Structure (CIF):
```
data_LiAlF2
_chemical_formula_sum 'Li3 Al3 F6'
_cell_length_a 3.9914
_cell_length_b 3.9914
_cell_length_c 17.0276
_cell_angle_alpha 90.00
_cell_angle_beta 90.00
_cell_angle_gamma 120.00
_symmetry_space_group_name_H-M 'R -3 m'
_symmetry_Int_Tables_number 166
_symmetry_space_group_name_Hall '-R 3 2"'
loop_
_atom_site_label
_atom_site_type_symbol
_atom_site_fract_x
_atom_site_fract_y
_atom_site_fract_z
_atom_site_occupancy
Li1 Li 0.0000 0.0000 0.0000 1
Al1 Al 0.0000 0.0000 0.5000 1
F1 F 0.0000 0.0000 0.1022 1
```

Properties
ΔE_f (raw) in meV per atom: -1769
Distance to the lowest polymorph of the same formula in kJ/mol of formula units: 286